SrPtSe2 | Alexandria via LeMat-Bulk | PBE-GGA | relaxed; raw formation energy = -627 meV per atom; SG = No. 166; uncorrected energy = -17.198 eV per cell; DOS at the Fermi energy = 0.46 states/eV/atom; offset from the most stable computed form = 385 meV per atom
1.0
-6.072 -0.367 0.805
-2.990 -0.252 5.352
-3.661 4.315 2.372
Pt Se Sr
1 2 1
direct
0.000 0.000 0.000 Pt
0.853 0.853 0.853 Se
0.147 0.147 0.147 Se
0.500 0.500 0.500 Sr